No. 1
VASP calculation (GGA-PBE) on crystalline MgTaZnRu at its relaxed geometry. Values from VASP.

```
&SYSTEM
  ibrav = 0, nat = 4, ntyp = 4
/
ATOMIC_SPECIES
Ru 101.07 Ru.upf
Zn 65.41 Zn.upf
Mg 24.30 Mg.upf
Ta 180.95 Ta.upf
ATOMIC_POSITIONS crystal
Ru 0.750 0.750 0.750
Zn 0.250 0.250 0.250
Mg 0.500 0.500 0.500
Ta 0.000 0.000 0.000
CELL_PARAMETERS angstrom
-0.485 -2.119 3.912
3.274 -2.635 1.539
2.414 1.271 3.548
```

## Properties
Formation enthalpy at 0 K ... -92.0 meV per atom
N(E_F) ... 1.1695 states/eV per atom
Energy ... -6.091 eV/atom

***

No. 2
VASP calculation (GGA-PBE) on crystalline Tb2TlCd2 at its relaxed geometry. Values from VASP.

```
&SYSTEM
  ibrav = 0, nat = 10, ntyp = 3
/
ATOMIC_SPECIES
Tb 158.93 Tb.upf
Tl 204.38 Tl.upf
Cd 112.41 Cd.upf
ATOMIC_POSITIONS crystal
Tb 0.500 0.169 0.669
Tb 0.500 0.669 0.831
Tb 0.500 0.831 0.331
Tb 0.500 0.331 0.169
Tl 0.000 0.000 0.000
Tl 0.000 0.500 0.500
Cd 0.000 0.370 0.870
Cd 0.000 0.870 0.630
Cd 0.000 0.630 0.130
Cd 0.000 0.130 0.370
CELL_PARAMETERS angstrom
-1.177 1.459 4.115
-7.423 -0.209 -2.049
-0.471 -7.288 2.449
```

## Properties
Formation enthalpy at 0 K ... -244.3 meV per atom
N(E_F) ... 0.7875 states/eV per atom
Energy ... -2.936 eV/atom

***

No. 3
VASP calculation (GGA-PBE) on crystalline KRb2NiBr6 at its relaxed geometry. Values from VASP.

```
&SYSTEM
  ibrav = 0, nat = 10, ntyp = 4
/
ATOMIC_SPECIES
Ni 58.69 Ni.upf
K 39.10 K.upf
Br 79.90 Br.upf
Rb 85.47 Rb.upf
ATOMIC_POSITIONS crystal
Ni 0.000 0.000 0.000
K 0.500 0.500 0.000
Br 0.221 0.221 0.558
Br 0.779 0.779 0.442
Br 0.221 0.221 0.000
Br 0.779 0.779 0.000
Br 0.779 0.221 0.000
Br 0.221 0.779 0.000
Rb 0.750 0.250 0.500
Rb 0.250 0.750 0.500
CELL_PARAMETERS angstrom
7.921 0.000 0.000
0.000 7.921 0.000
3.961 3.961 5.595
```

## Properties
N(E_F) ... 0.2575 states/eV per atom
Energy ... -2.978 eV/atom
Uncorrected formation energy ... -1.09 eV/atom

***

No. 4
VASP calculation (GGA-PBE) on crystalline Er2BeCuPd6 at its relaxed geometry. Values from VASP.

```
&SYSTEM
  ibrav = 0, nat = 10, ntyp = 4
/
ATOMIC_SPECIES
Er 167.26 Er.upf
Be 9.01 Be.upf
Cu 63.55 Cu.upf
Pd 106.42 Pd.upf
ATOMIC_POSITIONS crystal
Er 0.741 0.285 0.492
Er 0.259 0.715 0.508
Be 0.500 0.500 0.000
Cu 0.000 0.000 0.000
Pd 0.225 0.256 0.489
Pd 0.663 0.811 0.989
Pd 0.234 0.719 0.879
Pd 0.766 0.281 0.121
Pd 0.337 0.189 0.011
Pd 0.775 0.744 0.511
CELL_PARAMETERS angstrom
-4.595 -3.116 -2.080
2.793 -5.673 0.278
-2.629 -6.747 3.163
```

## Properties
Formation enthalpy at 0 K ... -580.5 meV per atom
N(E_F) ... 0.3878 states/eV per atom
Energy ... -5.391 eV/atom

***

No. 5
VASP calculation (GGA-PBE) on crystalline Bi2Pb at its relaxed geometry. Values from VASP.

```
&SYSTEM
  ibrav = 0, nat = 6, ntyp = 2
/
ATOMIC_SPECIES
Pb 207.20 Pb.upf
Bi 208.98 Bi.upf
ATOMIC_POSITIONS crystal
Pb 0.000 0.000 0.000
Pb 0.250 0.250 0.250
Bi 0.125 0.625 0.625
Bi 0.625 0.125 0.625
Bi 0.625 0.625 0.625
Bi 0.625 0.625 0.125
CELL_PARAMETERS angstrom
6.611 0.000 0.000
3.305 5.725 0.000
3.305 1.908 5.398
```

## Properties
Formation enthalpy at 0 K ... 186.3 meV per atom
N(E_F) ... 0.8377 states/eV per atom
Energy ... -3.637 eV/atom

***

No. 6
VASP calculation (GGA-PBE) on crystalline ErAl3ZnAu at its relaxed geometry. Values from VASP.

```
&SYSTEM
  ibrav = 0, nat = 12, ntyp = 4
/
ATOMIC_SPECIES
Er 167.26 Er.upf
Al 26.98 Al.upf
Zn 65.41 Zn.upf
Au 196.97 Au.upf
ATOMIC_POSITIONS crystal
Er 0.750 0.295 0.589
Er 0.250 0.705 0.411
Al 0.250 0.139 0.278
Al 0.000 0.298 0.000
Al 0.500 0.702 0.000
Al 0.500 0.298 0.000
Al 0.000 0.702 0.000
Al 0.750 0.861 0.722
Zn 0.250 0.924 0.848
Zn 0.750 0.076 0.152
Au 0.250 0.347 0.694
Au 0.750 0.653 0.306
CELL_PARAMETERS angstrom
-5.581 -0.059 -0.940
-1.061 -1.405 6.387
0.246 6.835 -1.892
```

## Properties
Formation enthalpy at 0 K ... -203.9 meV per atom
N(E_F) ... 0.4103 states/eV per atom
Energy ... -3.594 eV/atom